[1]
Below is a relaxed BeCu2Cl crystal, with properties calculated at the PBEsol level.

The structure in CIF format:
```
data_BeCu2Cl
_cell_length_a 2.921
_cell_length_b 2.921
_cell_length_c 5.948
_cell_angle_alpha 90.00
_cell_angle_beta 90.00
_cell_angle_gamma 90.00
_symmetry_space_group_name_H-M 'P 1'
_symmetry_Int_Tables_number 1
loop_
_symmetry_equiv_pos_as_xyz
'x,y,z'
loop_
_atom_site_label
_atom_site_type_symbol
_atom_site_fract_x
_atom_site_fract_y
_atom_site_fract_z
Be1 Be 0.500 0.500 0.000
Cu1 Cu 0.000 0.000 0.802
Cu2 Cu 0.000 0.000 0.198
Cl1 Cl 0.500 0.500 0.500
```

- Space-group type: P4/mmm (123)
- Energy above the lowest structure with this stoichiometry: 30 meV/atom

[2]
Below is a relaxed BeCu2NiCl crystal, with properties calculated at the PBEsol level.

The structure in CIF format:
```
data_BeCu2NiCl
_cell_length_a 3.848
_cell_length_b 4.294
_cell_length_c 4.294
_cell_angle_alpha 90.00
_cell_angle_beta 90.00
_cell_angle_gamma 90.00
_symmetry_space_group_name_H-M 'P 1'
_symmetry_Int_Tables_number 1
loop_
_symmetry_equiv_pos_as_xyz
'x,y,z'
loop_
_atom_site_label
_atom_site_type_symbol
_atom_site_fract_x
_atom_site_fract_y
_atom_site_fract_z
Ni1 Ni 0.500 0.500 0.500
Be1 Be 0.500 0.000 0.000
Cu1 Cu 0.000 0.000 0.500
Cu2 Cu 0.000 0.500 0.000
Cl1 Cl 0.000 0.000 0.000
```

- Space-group type: P4/mmm (123)

[3]
Below is a relaxed BeCuS2Cl crystal, with properties calculated at the PBEsol level.

The structure in CIF format:
```
data_BeCuS2Cl
_cell_length_a 3.940
_cell_length_b 3.940
_cell_length_c 5.868
_cell_angle_alpha 90.00
_cell_angle_beta 90.00
_cell_angle_gamma 90.00
_symmetry_space_group_name_H-M 'P 1'
_symmetry_Int_Tables_number 1
loop_
_symmetry_equiv_pos_as_xyz
'x,y,z'
loop_
_atom_site_label
_atom_site_type_symbol
_atom_site_fract_x
_atom_site_fract_y
_atom_site_fract_z
Be1 Be 0.000 0.000 0.000
S1 S 0.000 0.500 0.000
S2 S 0.500 0.000 0.000
Cu1 Cu 0.500 0.500 0.500
Cl1 Cl 0.000 0.000 0.500
```

- Space-group type: P4/mmm (123)

[4]
Below is a relaxed BeFeCl2 crystal, with properties calculated at the PBEsol level.

The structure in CIF format:
```
data_BeFeCl2
_cell_length_a 2.922
_cell_length_b 3.017
_cell_length_c 7.716
_cell_angle_alpha 101.67
_cell_angle_beta 90.00
_cell_angle_gamma 90.00
_symmetry_space_group_name_H-M 'P 1'
_symmetry_Int_Tables_number 1
loop_
_symmetry_equiv_pos_as_xyz
'x,y,z'
loop_
_atom_site_label
_atom_site_type_symbol
_atom_site_fract_x
_atom_site_fract_y
_atom_site_fract_z
Be1 Be 0.500 0.059 0.734
Fe1 Fe 0.000 0.442 0.514
Cl1 Cl 0.000 0.150 0.915
Cl2 Cl 0.500 0.850 0.338
```

- Space-group type: Pm (6)
- Energy above the lowest structure with this stoichiometry: 11 meV/atom

[5]
Below is a relaxed Be2FeCl crystal, with properties calculated at the PBEsol level.

The structure in CIF format:
```
data_Be2FeCl
_cell_length_a 2.706
_cell_length_b 4.115
_cell_length_c 4.701
_cell_angle_alpha 115.04
_cell_angle_beta 105.43
_cell_angle_gamma 92.85
_symmetry_space_group_name_H-M 'P 1'
_symmetry_Int_Tables_number 1
loop_
_symmetry_equiv_pos_as_xyz
'x,y,z'
loop_
_atom_site_label
_atom_site_type_symbol
_atom_site_fract_x
_atom_site_fract_y
_atom_site_fract_z
Be1 Be 0.000 0.000 0.500
Be2 Be 0.500 0.500 0.500
Fe1 Fe 0.500 0.500 0.000
Cl1 Cl 0.000 0.000 0.000
```

- Space-group type: C2/m (12)
- Energy above the lowest structure with this stoichiometry: 234 meV/atom

[6]
Below is a relaxed BeFeCl2 crystal, with properties calculated at the PBEsol level.

The structure in CIF format:
```
data_BeFeCl2
_cell_length_a 2.954
_cell_length_b 2.954
_cell_length_c 8.480
_cell_angle_alpha 90.00
_cell_angle_beta 90.00
_cell_angle_gamma 90.00
_symmetry_space_group_name_H-M 'P 1'
_symmetry_Int_Tables_number 1
loop_
_symmetry_equiv_pos_as_xyz
'x,y,z'
loop_
_atom_site_label
_atom_site_type_symbol
_atom_site_fract_x
_atom_site_fract_y
_atom_site_fract_z
Be1 Be 0.500 0.500 0.500
Fe1 Fe 0.500 0.500 0.000
Cl1 Cl 0.000 0.000 0.824
Cl2 Cl 0.000 0.000 0.176
```

- Space-group type: P4/mmm (123)
- Energy above the lowest structure with this stoichiometry: 622 meV/atom

[7]
Below is a relaxed BeFeCl2 crystal, with properties calculated at the PBEsol level.

The structure in CIF format:
```
data_BeFeCl2
_cell_length_a 2.993
_cell_length_b 3.214
_cell_length_c 8.293
_cell_angle_alpha 90.00
_cell_angle_beta 90.00
_cell_angle_gamma 117.75
_symmetry_space_group_name_H-M 'P 1'
_symmetry_Int_Tables_number 1
loop_
_symmetry_equiv_pos_as_xyz
'x,y,z'
loop_
_atom_site_label
_atom_site_type_symbol
_atom_site_fract_x
_atom_site_fract_y
_atom_site_fract_z
Be1 Be 0.500 0.000 0.748
Fe1 Fe 0.000 0.000 0.523
Cl1 Cl 0.000 0.000 0.909
Cl2 Cl 0.500 0.000 0.320
```

- Space-group type: Cmm2 (35)
- Energy above the lowest structure with this stoichiometry: 0 meV/atom

[8]
Below is a relaxed Be4FeCl crystal, with properties calculated at the PBEsol level.

The structure in CIF format:
```
data_Be4FeCl
_cell_length_a 4.368
_cell_length_b 4.368
_cell_length_c 4.368
_cell_angle_alpha 60.00
_cell_angle_beta 60.00
_cell_angle_gamma 60.00
_symmetry_space_group_name_H-M 'P 1'
_symmetry_Int_Tables_number 1
loop_
_symmetry_equiv_pos_as_xyz
'x,y,z'
loop_
_atom_site_label
_atom_site_type_symbol
_atom_site_fract_x
_atom_site_fract_y
_atom_site_fract_z
Be1 Be 0.628 0.628 0.116
Be2 Be 0.116 0.628 0.628
Be3 Be 0.628 0.116 0.628
Be4 Be 0.628 0.628 0.628
Fe1 Fe 0.000 0.000 0.000
Cl1 Cl 0.250 0.250 0.250
```

- Space-group type: F-43m (216)

[9]
Below is a relaxed Be2FeCl crystal, with properties calculated at the PBEsol level.

The structure in CIF format:
```
data_Be2FeCl
_cell_length_a 3.176
_cell_length_b 3.176
_cell_length_c 5.161
_cell_angle_alpha 107.92
_cell_angle_beta 107.92
_cell_angle_gamma 90.00
_symmetry_space_group_name_H-M 'P 1'
_symmetry_Int_Tables_number 1
loop_
_symmetry_equiv_pos_as_xyz
'x,y,z'
loop_
_atom_site_label
_atom_site_type_symbol
_atom_site_fract_x
_atom_site_fract_y
_atom_site_fract_z
Be1 Be 0.000 0.000 0.000
Be2 Be 0.750 0.250 0.500
Fe1 Fe 0.250 0.750 0.500
Cl1 Cl 0.500 0.500 0.000
```

- Space-group type: I-4m2 (119)
- Energy above the lowest structure with this stoichiometry: 333 meV/atom

[10]
Below is a relaxed BeFeCl2 crystal, with properties calculated at the PBEsol level.

The structure in CIF format:
```
data_BeFeCl2
_cell_length_a 3.280
_cell_length_b 3.280
_cell_length_c 6.268
_cell_angle_alpha 105.17
_cell_angle_beta 105.17
_cell_angle_gamma 90.00
_symmetry_space_group_name_H-M 'P 1'
_symmetry_Int_Tables_number 1
loop_
_symmetry_equiv_pos_as_xyz
'x,y,z'
loop_
_atom_site_label
_atom_site_type_symbol
_atom_site_fract_x
_atom_site_fract_y
_atom_site_fract_z
Be1 Be 0.250 0.750 0.500
Fe1 Fe 0.500 0.500 0.000
Cl1 Cl 0.000 0.000 0.000
Cl2 Cl 0.750 0.250 0.500
```

- Space-group type: I-4m2 (119)
- Energy above the lowest structure with this stoichiometry: 567 meV/atom

[11]
Below is a relaxed BeFeCl2 crystal, with properties calculated at the PBEsol level.

The structure in CIF format:
```
data_BeFeCl2
_cell_length_a 5.002
_cell_length_b 5.002
_cell_length_c 5.902
_cell_angle_alpha 115.07
_cell_angle_beta 115.07
_cell_angle_gamma 90.00
_symmetry_space_group_name_H-M 'P 1'
_symmetry_Int_Tables_number 1
loop_
_symmetry_equiv_pos_as_xyz
'x,y,z'
loop_
_atom_site_label
_atom_site_type_symbol
_atom_site_fract_x
_atom_site_fract_y
_atom_site_fract_z
Be1 Be 0.750 0.250 0.500
Be2 Be 0.500 0.500 0.000
Fe1 Fe 0.250 0.750 0.500
Fe2 Fe 0.000 0.000 0.000
Cl1 Cl 0.409 0.875 0.250
Cl2 Cl 0.841 0.375 0.250
Cl3 Cl 0.125 0.159 0.750
Cl4 Cl 0.625 0.591 0.750
```

- Space-group type: I-42d (122)
- Energy above the lowest structure with this stoichiometry: 230 meV/atom

[12]
Below is a relaxed Be2FeCl crystal, with properties calculated at the PBEsol level.

The structure in CIF format:
```
data_Be2FeCl
_cell_length_a 2.752
_cell_length_b 2.752
_cell_length_c 7.175
_cell_angle_alpha 90.00
_cell_angle_beta 90.00
_cell_angle_gamma 90.00
_symmetry_space_group_name_H-M 'P 1'
_symmetry_Int_Tables_number 1
loop_
_symmetry_equiv_pos_as_xyz
'x,y,z'
loop_
_atom_site_label
_atom_site_type_symbol
_atom_site_fract_x
_atom_site_fract_y
_atom_site_fract_z
Be1 Be 0.000 0.000 0.996
Be2 Be 0.500 0.500 0.131
Fe1 Fe 0.500 0.500 0.790
Cl1 Cl 0.000 0.000 0.583
```

- Space-group type: P4mm (99)
- Energy above the lowest structure with this stoichiometry: 0 meV/atom

[13]
Below is a relaxed YBe2FeCl crystal, with properties calculated at the PBEsol level.

The structure in CIF format:
```
data_YBe2FeCl
_cell_length_a 4.283
_cell_length_b 4.283
_cell_length_c 4.242
_cell_angle_alpha 90.00
_cell_angle_beta 90.00
_cell_angle_gamma 90.00
_symmetry_space_group_name_H-M 'P 1'
_symmetry_Int_Tables_number 1
loop_
_symmetry_equiv_pos_as_xyz
'x,y,z'
loop_
_atom_site_label
_atom_site_type_symbol
_atom_site_fract_x
_atom_site_fract_y
_atom_site_fract_z
Y1 Y 0.500 0.500 0.500
Be1 Be 0.000 0.500 0.000
Be2 Be 0.500 0.000 0.000
Fe1 Fe 0.000 0.000 0.500
Cl1 Cl 0.000 0.000 0.000
```

- Space-group type: P4/mmm (123)

[14]
Below is a relaxed BeGaP2Cl crystal, with properties calculated at the PBEsol level.

The structure in CIF format:
```
data_BeGaP2Cl
_cell_length_a 4.662
_cell_length_b 4.662
_cell_length_c 4.690
_cell_angle_alpha 90.00
_cell_angle_beta 90.00
_cell_angle_gamma 90.00
_symmetry_space_group_name_H-M 'P 1'
_symmetry_Int_Tables_number 1
loop_
_symmetry_equiv_pos_as_xyz
'x,y,z'
loop_
_atom_site_label
_atom_site_type_symbol
_atom_site_fract_x
_atom_site_fract_y
_atom_site_fract_z
P1 P 0.000 0.500 0.000
P2 P 0.500 0.000 0.000
Be1 Be 0.500 0.500 0.500
Ga1 Ga 0.000 0.000 0.000
Cl1 Cl 0.000 0.000 0.500
```

- Space-group type: P4/mmm (123)

Number 1: Fermi-level density of states 1.4 states/eV/f.u., formation energy (no corrections) 0.1910 eV/atom. Number 2: Fermi-level density of states 2.5 states/eV/f.u., formation energy (no corrections) 1.0990 eV/atom. Number 3: Fermi-level density of states 2.7 states/eV/f.u., formation energy (no corrections) 0.2717 eV/atom. Number 4: Fermi-level density of states 2.7 states/eV/f.u., formation energy (no corrections) -0.2012 eV/atom. Number 5: Fermi-level density of states 2.5 states/eV/f.u., formation energy (no corrections) 0.5174 eV/atom. Number 6: Fermi-level density of states 1.3 states/eV/f.u., formation energy (no corrections) 0.4099 eV/atom. Number 7: Fermi-level density of states 1.5 states/eV/f.u., formation energy (no corrections) -0.2117 eV/atom. Number 8: Fermi-level density of states 1.9 states/eV/f.u., formation energy (no corrections) 0.4774 eV/atom. Number 9: Fermi-level density of states 2.9 states/eV/f.u., formation energy (no corrections) 0.6157 eV/atom. Number 10: Fermi-level density of states 4.0 states/eV/f.u., formation energy (no corrections) 0.3551 eV/atom. Number 11: Fermi-level density of states 2.3 states/eV/f.u., formation energy (no corrections) 0.0179 eV/atom. Number 12: Fermi-level density of states 0.6 states/eV/f.u., formation energy (no corrections) 0.2829 eV/atom. Number 13: Fermi-level density of states 4.1 states/eV/f.u., formation energy (no corrections) 0.7634 eV/atom. Number 14: Fermi-level density of states 4.3 states/eV/f.u., formation energy (no corrections) 0.9604 eV/atom.